[1]
VASP calculation (PBE-GGA) on a geometry-optimized Pm2ErTm6 structure.

a = 9.4914 Å, b = 9.4914 Å, c = 6.4916 Å
α = 99.18°, β = 99.18°, γ = 96.03°
Fractional positions:
Pm: 0.1174 0.1688 0.3737
Pm: 0.1688 0.1174 0.8737
Pm: 0.8312 0.8826 0.1263
Pm: 0.8826 0.8312 0.6263
Er: 0.3824 0.6176 0.7500
Er: 0.6176 0.3824 0.2500
Tm: 0.0392 0.4409 0.7310
Tm: 0.1522 0.7755 0.9965
Tm: 0.2245 0.8478 0.5035
Tm: 0.2782 0.4575 0.1863
Tm: 0.4409 0.0392 0.2310
Tm: 0.4575 0.2782 0.6863
Tm: 0.5425 0.7218 0.3137
Tm: 0.5591 0.9608 0.7690
Tm: 0.7218 0.5425 0.8137
Tm: 0.7755 0.1522 0.4965
Tm: 0.8478 0.2245 0.0035
Tm: 0.9608 0.5591 0.2690

Values from the calculation:
Its space-group type is C2/c (15). Its formation energy is 1.002 eV/f.u. The value obtained for the final energy is -79.8 eV for the cell shown. For the density of states at the Fermi level, the calculation gives 11.18 states/eV/f.u.

=====

[2]
VASP calculation (PBE-GGA) on a geometry-optimized Pm7Er12Tm structure.

a = 8.7305 Å, b = 8.7305 Å, c = 8.7305 Å
α = 85.88°, β = 85.88°, γ = 85.88°
Fractional positions:
Pm: 0.0000 0.0000 0.0000
Pm: 0.1013 0.3452 0.4216
Pm: 0.3452 0.4216 0.1013
Pm: 0.4216 0.1013 0.3452
Pm: 0.5784 0.8987 0.6548
Pm: 0.6548 0.5784 0.8987
Pm: 0.8987 0.6548 0.5784
Er: 0.0027 0.3648 0.8834
Er: 0.1166 0.9973 0.6352
Er: 0.2285 0.7527 0.3548
Er: 0.2473 0.6452 0.7715
Er: 0.3548 0.2285 0.7527
Er: 0.3648 0.8834 0.0027
Er: 0.6352 0.1166 0.9973
Er: 0.6452 0.7715 0.2473
Er: 0.7527 0.3548 0.2285
Er: 0.7715 0.2473 0.6452
Er: 0.8834 0.0027 0.3648
Er: 0.9973 0.6353 0.1166
Tm: 0.5000 0.5000 0.5000

Values from the calculation:
As for the offset from the most stable computed form: 0.0 meV/atom. Its space-group type is R-3 (148). Its formation energy is 4.661 eV/f.u. The value obtained for the final energy is -87.8 eV for the cell shown. For the density of states at the Fermi level, the calculation gives 35.79 states/eV/f.u.

=====

[3]
VASP calculation (PBE-GGA) on a geometry-optimized Pm4Er3Tm2 structure.

a = 7.9789 Å, b = 7.9789 Å, c = 7.9799 Å
α = 107.42°, β = 107.42°, γ = 36.78°
Fractional positions:
Pm: 0.0540 0.0540 0.3305
Pm: 0.2771 0.2771 0.6680
Pm: 0.7229 0.7229 0.3320
Pm: 0.9460 0.9460 0.6695
Er: 0.3886 0.3886 0.3304
Er: 0.5000 0.5000 0.0000
Er: 0.6114 0.6114 0.6696
Tm: 0.1672 0.1672 0.9999
Tm: 0.8328 0.8328 0.0001

Values from the calculation:
As for the offset from the most stable computed form: 0.0 meV/atom. Its space-group type is C2/m (12). Its formation energy is 0.203 eV/f.u. The value obtained for the final energy is -41.4 eV for the cell shown. For the density of states at the Fermi level, the calculation gives 12.96 states/eV/f.u.

=====

[4]
VASP calculation (PBE-GGA) on a geometry-optimized Pm8ErTm5 structure.

a = 8.4986 Å, b = 8.4986 Å, c = 9.6217 Å
α = 124.33°, β = 124.33°, γ = 73.81°
Fractional positions:
Pm: 0.0236 0.3290 0.7655
Pm: 0.0681 0.0681 0.2407
Pm: 0.2507 0.5677 0.5859
Pm: 0.4323 0.7493 0.4141
Pm: 0.5157 0.1382 0.8956
Pm: 0.6710 0.9764 0.2345
Pm: 0.8618 0.4843 0.1044
Pm: 0.9319 0.9319 0.7593
Er: 0.3447 0.6553 0.0000
Tm: 0.0946 0.9054 0.5000
Tm: 0.3161 0.2760 0.1868
Tm: 0.5591 0.2234 0.5953
Tm: 0.7240 0.6839 0.8132
Tm: 0.7766 0.4409 0.4047

Values from the calculation:
Its space-group type is C2 (5). Its formation energy is 3.586 eV/f.u. The value obtained for the final energy is -61.3 eV for the cell shown. For the density of states at the Fermi level, the calculation gives 20.74 states/eV/f.u.

=====

[5]
VASP calculation (PBE-GGA) on a geometry-optimized Pm2Er3Tm5 structure.

a = 9.7718 Å, b = 9.7718 Å, c = 9.7718 Å
α = 123.16°, β = 93.61°, γ = 112.95°
Fractional positions:
Pm: 0.1206 0.1083 0.2289
Pm: 0.3794 0.6083 0.9877
Pm: 0.6206 0.3917 0.0123
Pm: 0.8794 0.8917 0.7711
Er: 0.1293 0.7553 0.8846
Er: 0.2500 0.2500 0.0000
Er: 0.3707 0.2553 0.6261
Er: 0.6293 0.7447 0.3739
Er: 0.7500 0.7500 0.0000
Er: 0.8707 0.2447 0.1154
Tm: 0.9998 0.2500 0.7498
Tm: 0.0002 0.7500 0.2502
Tm: 0.1221 0.4188 0.5409
Tm: 0.2500 0.7500 0.5000
Tm: 0.3779 0.9188 0.2967
Tm: 0.5002 0.2500 0.2502
Tm: 0.4998 0.7500 0.7498
Tm: 0.6221 0.0812 0.7033
Tm: 0.7500 0.2500 0.5000
Tm: 0.8779 0.5812 0.4591

Values from the calculation:
As for the offset from the most stable computed form: 229.2 meV/atom. Its space-group type is Ibam (72). Its formation energy is 4.282 eV/f.u. The value obtained for the final energy is -82.5 eV for the cell shown. For the density of states at the Fermi level, the calculation gives 15.73 states/eV/f.u.

=====

[6]
VASP calculation (PBE-GGA) on a geometry-optimized Pm3Er4Tm4 structure.

a = 3.4626 Å, b = 5.6066 Å, c = 18.1014 Å
α = 98.90°, β = 95.47°, γ = 90.00°
Fractional positions:
Pm: 0.0000 0.0000 0.0000
Pm: 0.1366 0.6374 0.2738
Pm: 0.8634 0.3626 0.7262
Er: 0.2660 0.2662 0.5324
Er: 0.4089 0.9083 0.8180
Er: 0.5911 0.0917 0.1820
Er: 0.7340 0.7338 0.4676
Tm: 0.3187 0.8180 0.6366
Tm: 0.4550 0.4537 0.9086
Tm: 0.5450 0.5463 0.0914
Tm: 0.6813 0.1820 0.3634

Values from the calculation:
Its space-group type is P-1 (2). Its formation energy is 0.659 eV/f.u. The value obtained for the final energy is -49.7 eV for the cell shown. For the density of states at the Fermi level, the calculation gives 16.83 states/eV/f.u.

=====

[7]
VASP calculation (PBE-GGA) on a geometry-optimized Pm16Er7Tm6 structure.

a = 11.2122 Å, b = 11.2122 Å, c = 11.2122 Å
α = 60.00°, β = 60.00°, γ = 60.00°
Fractional positions:
Pm: 0.0543 0.6486 0.6486
Pm: 0.1245 0.1245 0.1245
Pm: 0.1245 0.1245 0.6265
Pm: 0.1245 0.6265 0.1245
Pm: 0.3514 0.3514 0.3514
Pm: 0.3514 0.3514 0.9457
Pm: 0.3514 0.9457 0.3514
Pm: 0.3735 0.8755 0.8755
Pm: 0.6265 0.1245 0.1245
Pm: 0.6486 0.0543 0.6486
Pm: 0.6486 0.6486 0.0543
Pm: 0.6486 0.6486 0.6486
Pm: 0.8755 0.3735 0.8755
Pm: 0.8755 0.8755 0.3735
Pm: 0.8755 0.8755 0.8755
Pm: 0.9457 0.3514 0.3514
Er: 0.0000 0.0000 0.0000
Er: 0.0000 0.0000 0.5000
Er: 0.0000 0.5000 0.0000
Er: 0.0000 0.5000 0.5000
Er: 0.5000 0.0000 0.0000
Er: 0.5000 0.0000 0.5000
Er: 0.5000 0.5000 0.0000
Tm: 0.2644 0.2644 0.7356
Tm: 0.2644 0.7356 0.2644
Tm: 0.2644 0.7356 0.7356
Tm: 0.7356 0.2644 0.2644
Tm: 0.7356 0.2644 0.7356
Tm: 0.7356 0.7356 0.2644

Values from the calculation:
Its space-group type is Fm-3m (225). Its formation energy is 6.135 eV/f.u. The value obtained for the final energy is -128.6 eV for the cell shown. For the density of states at the Fermi level, the calculation gives 39.53 states/eV/f.u.

=====

[8]
VASP calculation (PBE-GGA) on a geometry-optimized Pm2ErTm7 structure.

a = 4.9690 Å, b = 7.0479 Å, c = 9.3171 Å
α = 100.95°, β = 105.44°, γ = 90.11°
Fractional positions:
Pm: 0.1989 0.1006 0.3977
Pm: 0.8011 0.8994 0.6023
Er: 0.0000 0.5000 0.0000
Tm: 0.0000 0.0000 0.0000
Tm: 0.1989 0.5986 0.3980
Tm: 0.4007 0.6987 0.8015
Tm: 0.4017 0.2022 0.8032
Tm: 0.5983 0.7978 0.1968
Tm: 0.5993 0.3013 0.1985
Tm: 0.8011 0.4014 0.6020

Values from the calculation:
As for the offset from the most stable computed form: 0.0 meV/atom. Its space-group type is P-1 (2). Its formation energy is 0.249 eV/f.u. The value obtained for the final energy is -45.1 eV for the cell shown. For the density of states at the Fermi level, the calculation gives 14.57 states/eV/f.u.